The following is a DFT calculation (PBE-GGA) of a geometry-optimized LaCoOs2 structure.

Cell lengths 4.3637, 2.8974, 5.7326 Å; angles 78.27, 90.00, 90.00 degrees
Site moments in Bohr magnetons follow the coordinates.
Fractional coordinates of all 4 atoms:
Co  0.5000  0.2500  0.2500  1.55
La  0.5000  0.7500  0.7500  -0.01
Os  0.0000  0.0667  0.0592  0.31
Os  0.0000  0.4333  0.4408  0.31

Calculated values
Space group   No. 10
ΔE_f   0.531 eV/atom
Total magnetization   2.19 Bohr magnetons per cell
Theoretical density   13.5 g cm⁻³
DFT total energy   -32.37 eV per formula unit